# SrCaEuWO6 (PBE with a Hubbard U, optimized geometry)
# * total DFT energy (no corrections): -7.749 eV per atom
data_SrCaEuWO6
_chemical_formula_sum 'Sr4 Ca4 Eu4 W4 O24'
_cell_length_a 8.363
_cell_length_b 8.363
_cell_length_c 8.363
_cell_angle_alpha 90.00
_cell_angle_beta 90.00
_cell_angle_gamma 90.00
_space_group_name_H-M_alt 'F -4 3 m'
_space_group_IT_number 216
_space_group_name_Hall 'F -4 2 3'
loop_
_atom_site_label
_atom_site_type_symbol
_atom_site_fract_x
_atom_site_fract_y
_atom_site_fract_z
_atom_site_occupancy
Sr1 Sr 0.000 0.000 0.000 1
Ca1 Ca 0.250 0.250 0.750 1
Eu1 Eu 0.000 0.000 0.500 1
W1 W 0.250 0.250 0.250 1
O1 O 0.017 0.250 0.250 1